A plane-wave DFT calculation with PBE was carried out for CrCo6Re5 after structural relaxation.

It has space group Cmmm (No. 65), with a = 3.656 Å, b = 10.957 Å, c = 7.437 Å, α = 90.00°, β = 90.00° and γ = 90.00°. The distinct sites, in fractional coordinates, are Cr at (0.000, 0.000, 0.000), Co at (0.000, 0.165, 0.247), Co at (0.000, 0.500, 0.246), Re at (0.000, 0.000, 0.500), Re at (0.000, 0.333, 0.500) and Re at (0.000, 0.337, 0.000).

For the formation energy, the calculation gives 50 meV/atom. Its total energy is -227.8 eV for the cell shown. For the density, the calculation gives 14.9 g cm⁻³.

A plane-wave DFT calculation with PBE was carried out for Rh2WBr after structural relaxation.

It has space group Imm2 (No. 44), with a = 2.937 Å, b = 4.246 Å, c = 12.292 Å, α = 90.00°, β = 90.00° and γ = 90.00°. The distinct sites, in fractional coordinates, are Rh at (0.000, 0.000, 0.000), Rh at (0.000, 0.500, 0.133), W at (0.000, 0.500, 0.674) and Br at (0.000, 0.000, 0.359).

For the relative energy among the computed polymorphs, the calculation gives 134 kJ/mol of formula units. Its total energy is -54.7 eV for the cell shown. The calculation puts the formation energy (no corrections) at 0.50 eV/atom. For the density, the calculation gives 10.2 g cm⁻³.

A plane-wave DFT calculation with PBE was carried out for KAs2W after structural relaxation.

It has space group I-4m2 (No. 119), with a = 4.082 Å, b = 4.082 Å, c = 9.841 Å, α = 90.00°, β = 90.00° and γ = 90.00°. The distinct sites, in fractional coordinates, are K at (0.000, 0.000, 0.000), As at (0.000, 0.000, 0.500), As at (0.000, 0.500, 0.250) and W at (0.000, 0.500, 0.750).

For the formation energy, the calculation gives 1012 meV/atom. For the relative energy among the computed polymorphs, the calculation gives 426 kJ/mol of formula units. Its total energy is -38.6 eV for the cell shown. For the density, the calculation gives 7.6 g cm⁻³.